An optimized crystal structure of Hf12ScAl3. Source: the Alexandria database, functional PBE.

Output
Its crystal system is tetragonal. As for the formation energy: -231.4 kJ/mol of formula units. Its total moment is 0.0 μB per cell. Its density of states at the Fermi level is 1.0378 states/eV/atom.

Unit cell a=4.3773 b=4.3773 c=17.4892 alpha=90.00 beta=90.00 gamma=90.00
With the nearest neighbours (Å) after each atom.
Space group P4/mmm (No. 123)
Unique sites:
Hf (0.0000, 0.0000, 0.0000) x1  8 Hf 3.06, 4 Al 3.10
Hf (0.0000, 0.0000, 0.2446) x2  8 Hf 3.06-3.09, 4 Al 3.10
Hf (0.0000, 0.0000, 0.5000) x1  4 Sc 3.10, 8 Hf 3.17
Hf (0.0000, 0.5000, 0.1226) x4  8 Hf 3.06-3.10, 4 Al 3.06-3.08
Hf (0.0000, 0.5000, 0.3691) x4  2 Al 3.07, 8 Hf 3.09-3.17, 2 Sc 3.17
Sc (0.5000, 0.5000, 0.5000) x1  12 Hf 3.10-3.17
Al (0.5000, 0.5000, 0.0000) x1  12 Hf 3.06-3.10
Al (0.5000, 0.5000, 0.2465) x2  12 Hf 3.07-3.10